VASP calculation (GGA-PBE) on crystalline Be24Fe5 at its relaxed geometry.

POSCAR file:
```
Be24Fe5
1.0
6.7573 0.0000 0.0000
-2.2524 6.3708 0.0000
-2.2524 -3.1854 5.5173
Be Fe
24 5
direct
0.1877 0.3698 0.0000
0.3698 0.1877 0.0000
0.8123 0.8123 0.1821
0.6302 0.6302 0.8179
0.8123 0.1821 0.8123
0.6302 0.8179 0.6302
0.3698 0.0000 0.1877
0.1877 0.0000 0.3698
0.0000 0.3698 0.1877
0.0000 0.1877 0.3698
0.8179 0.6302 0.6302
0.1821 0.8123 0.8123
0.6845 0.3907 0.0000
0.3907 0.6845 0.0000
0.3155 0.3155 0.7062
0.6093 0.6093 0.2938
0.3155 0.7062 0.3155
0.6093 0.2938 0.6093
0.3907 0.0000 0.6845
0.6845 0.0000 0.3907
0.0000 0.3907 0.6845
0.0000 0.6845 0.3907
0.2938 0.6093 0.6093
0.7062 0.3155 0.3155
0.0000 0.6199 0.0000
0.6199 0.0000 0.0000
0.0000 0.0000 0.6199
0.3801 0.3801 0.3801
0.0000 0.0000 0.0000
```

Properties
calculated formation energy = -0.1733 eV/atom
SG = I-43m, No. 217
calculated density = 3.464 g/cm³
magnetization = 0.183 μB/atom
final energy = -4.7161 eV per atom



VASP calculation (GGA-PBE) on crystalline BeFe2 at its relaxed geometry.

POSCAR file:
```
BeFe2
1.0
-1.0122 -2.8618 -2.8207
2.0416 -1.5304 -3.2651
2.0503 -4.0556 1.9386
Be Fe
2 4
direct
0.9783 0.9783 0.0459
0.2995 0.2995 0.3985
0.6389 0.6389 0.7222
0.6389 0.6389 0.2222
0.9676 0.9676 0.5413
0.3102 0.3102 0.9032
```

Properties
calculated formation energy = -0.0734 eV/atom
SG = C2/m, No. 12
calculated density = 6.529 g/cm³
magnetization = 1.393 μB/atom
final energy = -6.9573 eV per atom



VASP calculation (GGA-PBE) on crystalline BeFe3 at its relaxed geometry.

POSCAR file:
```
BeFe3
1.0
2.4230 0.0030 0.0000
-0.5575 2.3580 0.0000
0.0000 0.0000 7.3360
Be Fe
1 3
direct
0.0000 0.0000 0.0000
0.5000 0.5000 0.7716
0.0000 0.0000 0.5000
0.5000 0.5000 0.2284
```

Properties
calculated formation energy = -0.0620 eV/atom
SG = Cmmm, No. 65
calculated density = 6.992 g/cm³
magnetization = 1.607 μB/atom
final energy = -7.3405 eV per atom



VASP calculation (GGA-PBE) on crystalline BeFe3 at its relaxed geometry.

POSCAR file:
```
BeFe3
1.0
4.5838 -0.0007 -0.0023
-2.0803 4.0846 -0.0023
-2.0803 -3.3934 2.2736
Be Fe
1 3
direct
0.0000 0.0000 0.0000
0.5000 0.0000 0.5000
0.5000 0.5000 0.0000
0.0000 0.5000 0.5000
```

Properties
calculated formation energy = -0.0350 eV/atom
SG = R-3m, No. 166
calculated density = 6.899 g/cm³
magnetization = 1.574 μB/atom
final energy = -7.3136 eV per atom



VASP calculation (GGA-PBE) on crystalline BeFe7 at its relaxed geometry.

POSCAR file:
```
BeFe7
1.0
-4.6326 -1.1144 1.2885
-2.9756 3.5080 1.7895
-3.7804 1.6490 -2.7116
Be Fe
1 7
direct
0.0000 0.0000 0.0000
0.5000 0.5000 0.0000
0.5000 0.0000 0.5000
0.5000 0.0000 0.0000
0.0000 0.0000 0.5000
0.0000 0.5000 0.0000
0.0000 0.5000 0.5000
0.5000 0.5000 0.5000
```

Properties
calculated formation energy = 0.0411 eV/atom
SG = Fm-3m, No. 225
calculated density = 7.810 g/cm³
magnetization = 0.986 μB/atom
final energy = -7.8295 eV per atom



VASP calculation (GGA-PBE) on crystalline Be2Fe at its relaxed geometry.

POSCAR file:
```
Be2Fe
1.0
-10.0601 2.1959 -1.4008
-9.9370 0.8164 2.9291
10.3721 0.6332 -0.0932
Be Fe
8 4
direct
0.7499 0.7499 0.0000
0.2501 0.2501 0.0000
0.9999 0.4999 0.5000
0.5001 0.0001 0.5000
0.5860 0.5860 0.0000
0.4140 0.4140 0.0000
0.8360 0.3360 0.5000
0.6640 0.1640 0.5000
0.9238 0.9238 0.0000
0.0762 0.0762 0.0000
0.1738 0.6738 0.5000
0.3262 0.8262 0.5000
```

Properties
calculated formation energy = -0.1916 eV/atom
SG = I4_1/amd, No. 141
calculated density = 4.683 g/cm³
magnetization = 0.434 μB/atom
final energy = -5.4966 eV per atom